Record 1
# MnSiBr2

A relaxed MnSiBr2 crystal (PBE, the Alexandria database).

Structure (POSCAR):
```
MnSiBr2
1.0
-0.827 2.124 -10.898
-3.955 0.546 -10.394
-3.594 4.007 -9.747
Br Mn Si
2 1 1
Direct
0.967 0.967 0.967
0.533 0.533 0.533
0.250 0.250 0.250
0.750 0.750 0.750
```

Properties
As for the space group: No. 166. Its uncorrected formation energy is 0.165 eV/atom.

***

Record 2
# MnSiBr2

A relaxed MnSiBr2 crystal (PBE, the Alexandria database).

Structure (POSCAR):
```
MnSiBr2
1.0
-3.000 0.125 1.933
0.691 -2.641 -2.301
4.155 -4.801 6.759
Br Mn Si
2 1 1
Direct
0.000 0.000 0.045
0.000 0.000 0.455
0.500 0.500 0.250
0.500 0.500 0.750
```

Properties
As for the space group: No. 65. Its uncorrected formation energy is 0.302 eV/atom.

***

Record 3
# MnSiBr2

A relaxed MnSiBr2 crystal (PBE, the Alexandria database).

Structure (POSCAR):
```
MnSiBr2
1.0
-6.676 -5.018 -0.599
-2.579 -7.733 -1.913
4.902 5.696 3.692
Br Mn Si
2 1 1
Direct
0.886 0.886 0.000
0.614 0.614 0.000
0.750 0.250 0.500
0.250 0.750 0.500
```

Properties
As for the space group: No. 71. Its uncorrected formation energy is -0.044 eV/atom.

***

Record 4
# Mn2SiBr

A relaxed Mn2SiBr crystal (PBE, the Alexandria database).

Structure (POSCAR):
```
Mn2SiBr
1.0
3.706 0.014 -0.012
1.842 3.216 -0.012
1.854 1.079 6.010
Br Mn Si
1 2 1
Direct
0.250 0.250 0.250
0.028 0.028 0.918
0.472 0.472 0.582
0.750 0.750 0.750
```

Properties
As for the space group: No. 12. Its uncorrected formation energy is 0.073 eV/atom.

***

Record 5
# MnSiBr2

A relaxed MnSiBr2 crystal (PBE, the Alexandria database).

Structure (POSCAR):
```
MnSiBr2
1.0
3.609 0.125 0.000
-2.065 2.962 0.000
0.000 0.000 9.513
Br Mn Si
2 1 1
Direct
0.000 0.000 0.922
0.500 0.500 0.337
0.000 0.000 0.526
0.500 0.500 0.715
```

Properties
As for the space group: No. 35. Its uncorrected formation energy is 0.083 eV/atom.

***

Record 6
# Mn2SiBr

A relaxed Mn2SiBr crystal (PBE, the Alexandria database).

Structure (POSCAR):
```
Mn2SiBr
1.0
4.172 0.000 0.000
0.004 4.172 0.000
-2.088 -2.086 2.949
Br Mn Si
1 2 1
Direct
0.750 0.250 0.500
0.000 0.000 0.000
0.500 0.500 0.000
0.250 0.750 0.500
```

Properties
As for the space group: No. 225. Its uncorrected formation energy is 0.665 eV/atom.

***

Record 7
# MnSiBr2

A relaxed MnSiBr2 crystal (PBE, the Alexandria database).

Structure (POSCAR):
```
MnSiBr2
1.0
4.567 -0.004 -0.009
3.187 3.271 -0.009
1.671 0.704 7.550
Br Mn Si
2 1 1
Direct
0.035 0.035 0.107
0.852 0.852 0.640
0.451 0.451 0.397
0.163 0.163 0.356
```

Properties
As for the space group: No. 8. Its uncorrected formation energy is -0.075 eV/atom.

***

Record 8
# Mn2SiBr

A relaxed Mn2SiBr crystal (PBE, the Alexandria database).

Structure (POSCAR):
```
Mn2SiBr
1.0
6.371 0.607 0.000
3.980 5.012 0.000
-5.176 -2.810 2.506
Br Mn Si
1 2 1
Direct
0.750 0.250 0.500
0.000 0.000 0.000
0.250 0.750 0.500
0.500 0.500 0.000
```

Properties
As for the space group: No. 119. Its uncorrected formation energy is 0.508 eV/atom.

***

| no. | total moment (μB/cell) | energy above the most stable polymorph in this dataset (eV/f.u.) |
| --- | --- | --- |
| 1 | 4.77 | 1.15 |
| 2 | 4.51 | 1.70 |
| 3 | 3.51 | 0.32 |
| 4 | 6.03 | 0.16 |
| 5 | 4.22 | 0.83 |
| 6 | 0.12 | 2.53 |
| 7 | 3.09 | 0.19 |
| 8 | 6.87 | 1.91 |